LiCaZnSb2: PBEsol geometry, SCAN.

Properties
ρ (g/cm³): 3.31
Uncorrected formation energy (eV per formula unit): 3.2
E_tot (eV per atom): -19.38
Total magnetic moment (μB per atom): 0.0001
Space group: P4/mmm, No. 123
DOS at the Fermi energy (states/eV/cell): 2.8

Cell: 5.615 5.615 5.671 Å, 90.00 90.00 90.00°
Element x y z (fractional)
1 Sb 0.000 0.500 0.000
2 Li 0.000 0.000 0.500
3 Ca 0.000 0.000 0.000
4 Sb 0.500 0.000 0.000
5 Zn 0.500 0.500 0.500

---

LiCaSc2: PBEsol geometry, SCAN.

Properties
ρ (g/cm³): 2.19
E_tot (eV per atom): -9.80
Total magnetic moment (μB per atom): 0.0000
Space group: F-43m, No. 216
DOS at the Fermi energy (states/eV/cell): 5.1
DFT formation energy (eV/atom): 0.334

Cell: 5.274 5.274 5.274 Å, 60.00 60.00 60.00°
Element x y z (fractional)
1 Sc 0.000 0.000 0.000
2 Ca 0.500 0.500 0.500
3 Sc 0.750 0.750 0.750
4 Li 0.250 0.250 0.250

---

LiCaSc2: PBEsol geometry, SCAN.

Properties
ρ (g/cm³): 2.20
E_tot (eV per atom): -9.87
Total magnetic moment (μB per atom): 0.0011
Space group: Pmmm, No. 47
DOS at the Fermi energy (states/eV/cell): 5.5
DFT formation energy (eV/atom): 0.257

Cell: 3.565 5.196 5.590 Å, 90.00 90.00 90.00°
Element x y z (fractional)
1 Ca 0.500 0.000 0.500
2 Sc 0.500 0.500 0.000
3 Li 0.000 0.500 0.500
4 Sc 0.000 0.000 0.000

---

LiCaSc2: PBEsol geometry, SCAN.

Properties
ρ (g/cm³): 2.23
E_tot (eV per atom): -9.75
Total magnetic moment (μB per atom): 0.1323
Space group: Fm-3m, No. 225
DOS at the Fermi energy (states/eV/cell): 4.4
DFT formation energy (eV/atom): 0.383

Cell: 5.240 5.240 5.240 Å, 60.00 60.00 60.00°
Element x y z (fractional)
1 Sc 0.750 0.750 0.750
2 Sc 0.250 0.250 0.250
3 Li 0.500 0.500 0.500
4 Ca 0.000 0.000 0.000

---

Li2CaSc: PBEsol geometry, SCAN.

Properties
ρ (g/cm³): 1.55
E_tot (eV per atom): -6.93
Total magnetic moment (μB per atom): 0.1837
Space group: R-3m, No. 166
DOS at the Fermi energy (states/eV/cell): 3.5
DFT formation energy (eV/atom): 0.238

Cell: 3.373 3.373 10.918 Å, 81.11 81.11 60.00°
Element x y z (fractional)
1 Ca 0.000 0.000 0.000
2 Li 0.245 0.245 0.266
3 Li 0.755 0.755 0.734
4 Sc 0.500 0.500 0.500

---

Li2CaScTa: PBEsol geometry, SCAN.

Properties
ρ (g/cm³): 4.33
E_tot (eV per atom): -17.75
Total magnetic moment (μB per atom): 0.3393
Space group: P4/mmm, No. 123
DOS at the Fermi energy (states/eV/cell): 3.2
DFT formation energy (eV/atom): 1.302

Cell: 4.588 4.588 5.104 Å, 90.00 90.00 90.00°
Element x y z (fractional)
1 Li 0.500 0.000 0.000
2 Sc 0.500 0.500 0.500
3 Li 0.000 0.500 0.000
4 Ta 0.000 0.000 0.500
5 Ca 0.000 0.000 0.000

---

LiCaScZn2: PBEsol geometry, SCAN.

Properties
ρ (g/cm³): 3.76
E_tot (eV per atom): -10.45
Total magnetic moment (μB per atom): 0.0000
Space group: P4/mmm, No. 123
DOS at the Fermi energy (states/eV/cell): 3.3
DFT formation energy (eV/atom): 0.218

Cell: 4.601 4.601 4.646 Å, 90.00 90.00 90.00°
Element x y z (fractional)
1 Sc 0.500 0.500 0.500
2 Ca 0.000 0.000 0.500
3 Zn 0.500 0.000 0.000
4 Zn 0.000 0.500 0.000
5 Li 0.000 0.000 0.000

---

LiCa2Se: PBEsol geometry, SCAN.

Properties
ρ (g/cm³): 2.74
Uncorrected formation energy (eV per formula unit): -2.4
E_tot (eV per atom): -11.05
Total magnetic moment (μB per atom): 0.0001
Space group: I4/mmm, No. 139
DOS at the Fermi energy (states/eV/cell): 3.0

Cell: 4.841 5.491 4.841 Å, 63.84 90.00 116.16°
Element x y z (fractional)
1 Ca 0.250 0.500 0.250
2 Ca 0.750 0.500 0.750
3 Li 0.500 0.000 0.500
4 Se 0.000 0.000 0.000

---

LiCa2Se: PBEsol geometry, SCAN.

Properties
ρ (g/cm³): 2.18
Uncorrected formation energy (eV per formula unit): -2.9
E_tot (eV per atom): -11.18
Total magnetic moment (μB per atom): 0.0000
Space group: I-42d, No. 122
DOS at the Fermi energy (states/eV/cell): 3.3

Cell: 6.916 6.916 6.916 Å, 107.30 107.30 113.92°
Element x y z (fractional)
1 Li 0.500 0.500 0.000
2 Ca 0.125 0.671 0.046
3 Se 0.000 0.000 0.000
4 Ca 0.921 0.875 0.546
5 Ca 0.329 0.375 0.454
6 Li 0.750 0.250 0.500
7 Ca 0.625 0.079 0.954
8 Se 0.250 0.750 0.500

---

Li2CaSe: PBEsol geometry, SCAN.

Properties
ρ (g/cm³): 2.55
Uncorrected formation energy (eV per formula unit): -3.5
E_tot (eV per atom): -9.51
Total magnetic moment (μB per atom): 0.0000
Space group: P4/mmm, No. 123
DOS at the Fermi energy (states/eV/cell): 0.3

Cell: 4.141 4.141 5.055 Å, 90.00 90.00 90.00°
Element x y z (fractional)
1 Se 0.500 0.500 0.500
2 Li 0.000 0.500 0.000
3 Li 0.500 0.000 0.000
4 Ca 0.000 0.000 0.500

---

Li2CaSi2: PBEsol geometry, SCAN.

Properties
ρ (g/cm³): 1.93
Uncorrected formation energy (eV per formula unit): -1.7
E_tot (eV per atom): -7.23
Total magnetic moment (μB per atom): 0.0000
Space group: I4/mmm, No. 139
DOS at the Fermi energy (states/eV/cell): 1.4

Cell: 4.088 4.088 6.356 Å, 108.76 108.76 90.00°
Element x y z (fractional)
1 Si 0.600 0.600 0.200
2 Li 0.750 0.250 0.500
3 Li 0.250 0.750 0.500
4 Si 0.400 0.400 0.800
5 Ca 0.000 0.000 0.000

---

Li2Ca2Si: PBEsol geometry, SCAN.

Properties
ρ (g/cm³): 1.63
Uncorrected formation energy (eV per formula unit): -0.3
E_tot (eV per atom): -6.89
Total magnetic moment (μB per atom): 0.0273
Space group: I4/mmm, No. 139
DOS at the Fermi energy (states/eV/cell): 2.5

Cell: 3.608 3.608 9.910 Å, 100.49 100.49 90.00°
Element x y z (fractional)
1 Si 0.000 0.000 0.000
2 Li 0.750 0.250 0.500
3 Ca 0.590 0.590 0.180
4 Li 0.250 0.750 0.500
5 Ca 0.410 0.410 0.820